# Cs12Hg3As5 PBE relaxed
# E_form	-1.2	eV per formula unit
# symmetry	No. 230
data_Cs12Hg3As5
_chemical_formula_sum 'Cs48 Hg12 As20'
_cell_length_a 19.400
_cell_length_b 19.400
_cell_length_c 19.400
_cell_angle_alpha 109.47
_cell_angle_beta 109.47
_cell_angle_gamma 109.47
_space_group_name_H-M_alt 'P 1'
_space_group_IT_number 1
_space_group_name_Hall 'P 1'
loop_
_atom_site_label
_atom_site_fract_x
_atom_site_fract_y
_atom_site_fract_z
Cs1 0.022 0.203 0.099
Cs2 0.022 0.319 0.922
Cs3 0.078 0.599 0.397
Cs4 0.078 0.978 0.681
Cs5 0.099 0.022 0.203
Cs6 0.099 0.578 0.897
Cs7 0.103 0.703 0.681
Cs8 0.103 0.901 0.422
Cs9 0.181 0.203 0.603
Cs10 0.181 0.478 0.578
Cs11 0.203 0.099 0.022
Cs12 0.203 0.603 0.181
Cs13 0.297 0.319 0.897
Cs14 0.297 0.478 0.401
Cs15 0.319 0.897 0.297
Cs16 0.319 0.922 0.022
Cs17 0.397 0.078 0.599
Cs18 0.397 0.819 0.797
Cs19 0.401 0.297 0.478
Cs20 0.401 0.603 0.922
Cs21 0.422 0.103 0.901
Cs22 0.422 0.819 0.522
Cs23 0.478 0.401 0.297
Cs24 0.478 0.578 0.181
Cs25 0.522 0.422 0.819
Cs26 0.522 0.599 0.703
Cs27 0.578 0.181 0.478
Cs28 0.578 0.897 0.099
Cs29 0.599 0.397 0.078
Cs30 0.599 0.703 0.522
Cs31 0.603 0.181 0.203
Cs32 0.603 0.922 0.401
Cs33 0.681 0.078 0.978
Cs34 0.681 0.103 0.703
Cs35 0.703 0.522 0.599
Cs36 0.703 0.681 0.103
Cs37 0.797 0.397 0.819
Cs38 0.797 0.901 0.978
Cs39 0.819 0.522 0.422
Cs40 0.819 0.797 0.397
Cs41 0.897 0.099 0.578
Cs42 0.897 0.297 0.319
Cs43 0.901 0.422 0.103
Cs44 0.901 0.978 0.797
Cs45 0.922 0.022 0.319
Cs46 0.922 0.401 0.603
Cs47 0.978 0.681 0.078
Cs48 0.978 0.797 0.901
Hg1 0.125 0.250 0.375
Hg2 0.125 0.375 0.750
Hg3 0.250 0.375 0.125
Hg4 0.250 0.875 0.625
Hg5 0.375 0.125 0.250
Hg6 0.375 0.750 0.125
Hg7 0.625 0.250 0.875
Hg8 0.625 0.875 0.750
Hg9 0.750 0.125 0.375
Hg10 0.750 0.625 0.875
Hg11 0.875 0.625 0.250
Hg12 0.875 0.750 0.625
As1 0.000 0.000 0.000
As2 0.000 0.000 0.500
As3 0.000 0.500 0.000
As4 0.000 0.500 0.500
As5 0.125 0.750 0.875
As6 0.125 0.875 0.250
As7 0.250 0.125 0.875
As8 0.250 0.625 0.375
As9 0.375 0.250 0.625
As10 0.375 0.625 0.750
As11 0.500 0.000 0.000
As12 0.500 0.000 0.500
As13 0.500 0.500 0.000
As14 0.500 0.500 0.500
As15 0.625 0.375 0.250
As16 0.625 0.750 0.375
As17 0.750 0.375 0.625
As18 0.750 0.875 0.125
As19 0.875 0.125 0.750
As20 0.875 0.250 0.125

# CsTl3C PBE relaxed
# E_form	11.2	eV per formula unit
# energy above the most stable polymorph in this dataset	1328	meV per atom
# symmetry	No. 221
data_CsTl3C
_chemical_formula_sum 'Cs1 Tl3 C1'
_cell_length_a 6.619
_cell_length_b 6.619
_cell_length_c 6.619
_cell_angle_alpha 90.00
_cell_angle_beta 90.00
_cell_angle_gamma 90.00
_space_group_name_H-M_alt 'P 1'
_space_group_IT_number 1
_space_group_name_Hall 'P 1'
loop_
_atom_site_label
_atom_site_fract_x
_atom_site_fract_y
_atom_site_fract_z
Cs1 0.000 0.000 0.000
Tl1 0.000 0.000 0.500
Tl2 0.000 0.500 0.000
Tl3 0.500 0.000 0.000
C1 0.500 0.500 0.500

# LiCeInSe3 PBE relaxed
# formation energy (no corrections)	-1.168	eV per atom
# symmetry	No. 11
data_LiCeInSe3
_chemical_formula_sum 'Li2 Ce2 In2 Se6'
_cell_length_a 9.050
_cell_length_b 3.970
_cell_length_c 9.138
_cell_angle_alpha 90.00
_cell_angle_beta 99.58
_cell_angle_gamma 90.00
_space_group_name_H-M_alt 'P 1'
_space_group_IT_number 1
_space_group_name_Hall 'P 1'
loop_
_atom_site_label
_atom_site_fract_x
_atom_site_fract_y
_atom_site_fract_z
Li1 0.103 0.250 0.092
Li2 0.897 0.750 0.908
Ce1 0.156 0.250 0.703
Ce2 0.844 0.750 0.297
In1 0.360 0.750 0.316
In2 0.640 0.250 0.684
Se1 0.090 0.250 0.373
Se2 0.190 0.750 0.951
Se3 0.374 0.750 0.636
Se4 0.626 0.250 0.364
Se5 0.810 0.250 0.049
Se6 0.910 0.750 0.627

| no. | total magnetization (μB per formula unit) | DOS at the Fermi energy (states/eV/cell) |
| --- | --- | --- |
| 1 | 3.139 | 75.071 |
| 2 | 0.002 | 17.116 |
| 3 | 0.130 | 3.262 |